Arrangement one

Entry from OQMD: a relaxed structure of Li2TlAu (PBE).

CIF file:
```
data_Li2TlAu
_symmetry_space_group_name_H-M 'P n m a'
_symmetry_Int_Tables_number 62
_cell_length_a 8.024
_cell_length_b 7.312
_cell_length_c 5.303
_cell_angle_alpha 90.00
_cell_angle_beta 90.00
_cell_angle_gamma 90.00
loop_
_symmetry_equiv_pos_as_xyz
'x,y,z'
'-x,-y,-z'
'-x+1/2,-y,z+1/2'
'x+1/2,y,-z+1/2'
'x+1/2,-y+1/2,-z+1/2'
'-x+1/2,y+1/2,z+1/2'
'-x,y+1/2,-z'
'x,-y+1/2,z'
loop_
_atom_site_label
_atom_site_fract_x
_atom_site_fract_y
_atom_site_fract_z
Li1 0.172 0.057 0.116
Tl1 0.039 0.250 0.606
Au1 0.115 0.750 0.888
```

theoretical density: 8.87 Mg/m³

Arrangement two

Entry from OQMD: a relaxed structure of Li2TlAu (PBE).

CIF file:
```
data_Li2TlAu
_symmetry_space_group_name_H-M 'I 4/m m m'
_symmetry_Int_Tables_number 139
_symmetry_space_group_name_Hall '-I 4 2'
_cell_length_a 4.604
_cell_length_b 4.604
_cell_length_c 6.525
_cell_angle_alpha 90.00
_cell_angle_beta 90.00
_cell_angle_gamma 90.00
loop_
_atom_site_label
_atom_site_fract_x
_atom_site_fract_y
_atom_site_fract_z
Li1 0.000 0.500 0.250
Tl1 0.000 0.000 0.000
Au1 0.000 0.000 0.500
```

theoretical density: 9.97 Mg/m³

Which structure is most stable, and how do the rest compare? From most to least stable: arrangement two, arrangement one.

Arrangement one

Entry from OQMD: a relaxed structure of LiZrAu2 (PBE).

CIF file:
```
data_LiZrAu2
_symmetry_space_group_name_H-M 'F -4 3 m'
_symmetry_Int_Tables_number 216
_symmetry_space_group_name_Hall 'F -4 2 3'
_cell_length_a 6.550
_cell_length_b 6.550
_cell_length_c 6.550
_cell_angle_alpha 90.00
_cell_angle_beta 90.00
_cell_angle_gamma 90.00
loop_
_atom_site_label
_atom_site_fract_x
_atom_site_fract_y
_atom_site_fract_z
Li1 0.000 0.000 0.000
Zr1 0.250 0.250 0.250
Au1 0.000 0.000 0.500
Au2 0.250 0.250 0.750
```

theoretical density: 11.63 Mg/m³

Arrangement two

Entry from OQMD: a relaxed structure of LiZrAu2 (PBE).

CIF file:
```
data_LiZrAu2
_symmetry_space_group_name_H-M 'I 4/m m m'
_symmetry_Int_Tables_number 139
_symmetry_space_group_name_Hall '-I 4 2'
_cell_length_a 4.679
_cell_length_b 4.679
_cell_length_c 6.644
_cell_angle_alpha 90.00
_cell_angle_beta 90.00
_cell_angle_gamma 90.00
loop_
_atom_site_label
_atom_site_fract_x
_atom_site_fract_y
_atom_site_fract_z
Li1 0.000 0.000 0.000
Zr1 0.000 0.000 0.500
Au1 0.000 0.500 0.250
```

theoretical density: 11.24 Mg/m³

Which structure is most stable, and how do the rest compare? From most to least stable: arrangement two, arrangement one.

Arrangement one

Entry from OQMD: a relaxed structure of LuMoAu (PBE).

CIF file:
```
data_LuMoAu
_symmetry_space_group_name_H-M 'F -4 3 m'
_symmetry_Int_Tables_number 216
_symmetry_space_group_name_Hall 'F -4 2 3'
_cell_length_a 6.525
_cell_length_b 6.525
_cell_length_c 6.525
_cell_angle_alpha 90.00
_cell_angle_beta 90.00
_cell_angle_gamma 90.00
loop_
_atom_site_label
_atom_site_fract_x
_atom_site_fract_y
_atom_site_fract_z
Lu1 0.000 0.000 0.000
Mo1 0.250 0.250 0.250
Au1 0.250 0.250 0.750
```

theoretical density: 11.18 Mg/m³

Arrangement two

Entry from OQMD: a relaxed structure of LuMoAu (PBE).

CIF file:
```
data_LuMoAu
_symmetry_space_group_name_H-M 'F -4 3 m'
_symmetry_Int_Tables_number 216
_symmetry_space_group_name_Hall 'F -4 2 3'
_cell_length_a 6.541
_cell_length_b 6.541
_cell_length_c 6.541
_cell_angle_alpha 90.00
_cell_angle_beta 90.00
_cell_angle_gamma 90.00
loop_
_atom_site_label
_atom_site_fract_x
_atom_site_fract_y
_atom_site_fract_z
Lu1 0.000 0.000 0.000
Mo1 0.000 0.000 0.500
Au1 0.250 0.250 0.250
```

theoretical density: 11.11 Mg/m³

Which structure is most stable, and how do the rest compare? From most to least stable: arrangement two, arrangement one.

Arrangement one

Entry from OQMD: a relaxed structure of LuAuNO (PBE).

CIF file:
```
data_LuAuNO
_symmetry_space_group_name_H-M 'P 4/n m m'
_symmetry_Int_Tables_number 129
_cell_length_a 3.874
_cell_length_b 3.874
_cell_length_c 7.365
_cell_angle_alpha 90.00
_cell_angle_beta 90.00
_cell_angle_gamma 90.00
loop_
_symmetry_equiv_pos_as_xyz
'x,y,z'
'-x,-y,-z'
'-y+1/2,x,z'
'y+1/2,-x,-z'
'-x+1/2,-y+1/2,z'
'x+1/2,y+1/2,-z'
'y,-x+1/2,z'
'-y,x+1/2,-z'
'x+1/2,-y,-z'
'-x+1/2,y,z'
'-y,-x,-z'
'y,x,z'
'-x,y+1/2,-z'
'x,-y+1/2,z'
'y+1/2,x+1/2,-z'
'-y+1/2,-x+1/2,z'
loop_
_atom_site_label
_atom_site_fract_x
_atom_site_fract_y
_atom_site_fract_z
Lu1 0.250 0.250 0.138
Au1 0.250 0.750 0.500
N1 0.250 0.250 0.696
O1 0.250 0.750 0.000
```

theoretical density: 12.07 Mg/m³

Arrangement two

Entry from OQMD: a relaxed structure of LuAuNO (PBE).

CIF file:
```
data_LuAuNO
_symmetry_space_group_name_H-M 'P m c 21'
_symmetry_Int_Tables_number 26
_cell_length_a 3.614
_cell_length_b 6.161
_cell_length_c 5.829
_cell_angle_alpha 90.00
_cell_angle_beta 90.00
_cell_angle_gamma 90.00
loop_
_symmetry_equiv_pos_as_xyz
'x,y,z'
'-x,-y,z+1/2'
'-x,y,z'
'x,-y,z+1/2'
loop_
_atom_site_label
_atom_site_fract_x
_atom_site_fract_y
_atom_site_fract_z
Lu1 0.000 0.206 0.000
Au1 0.500 0.253 0.483
N1 0.000 0.131 0.371
O1 0.500 0.352 0.904
```

theoretical density: 10.29 Mg/m³

Arrangement three

Entry from OQMD: a relaxed structure of LuAuNO (PBE).

CIF file:
```
data_LuAuNO
_symmetry_space_group_name_H-M 'P c a 21'
_symmetry_Int_Tables_number 29
_cell_length_a 7.009
_cell_length_b 6.936
_cell_length_c 4.784
_cell_angle_alpha 90.00
_cell_angle_beta 90.00
_cell_angle_gamma 90.00
loop_
_symmetry_equiv_pos_as_xyz
'x,y,z'
'-x,-y,z+1/2'
'-x+1/2,y,z+1/2'
'x+1/2,-y,z'
loop_
_atom_site_label
_atom_site_fract_x
_atom_site_fract_y
_atom_site_fract_z
Lu1 0.084 0.153 0.000
Au1 0.143 0.706 0.996
N1 0.098 0.121 0.501
O1 0.083 0.587 0.488
```

theoretical density: 11.48 Mg/m³

Arrangement four

Entry from OQMD: a relaxed structure of LuAuNO (PBE).

CIF file:
```
data_LuAuNO
_symmetry_space_group_name_H-M 'P 4/n m m'
_symmetry_Int_Tables_number 129
_cell_length_a 4.829
_cell_length_b 4.829
_cell_length_c 4.451
_cell_angle_alpha 90.00
_cell_angle_beta 90.00
_cell_angle_gamma 90.00
loop_
_symmetry_equiv_pos_as_xyz
'x,y,z'
'-x,-y,-z'
'-y+1/2,x,z'
'y+1/2,-x,-z'
'-x+1/2,-y+1/2,z'
'x+1/2,y+1/2,-z'
'y,-x+1/2,z'
'-y,x+1/2,-z'
'x+1/2,-y,-z'
'-x+1/2,y,z'
'-y,-x,-z'
'y,x,z'
'-x,y+1/2,-z'
'x,-y+1/2,z'
'y+1/2,x+1/2,-z'
'-y+1/2,-x+1/2,z'
loop_
_atom_site_label
_atom_site_fract_x
_atom_site_fract_y
_atom_site_fract_z
Lu1 0.250 0.750 0.000
Au1 0.250 0.250 0.494
N1 0.250 0.250 0.994
O1 0.250 0.750 0.500
```

theoretical density: 12.86 Mg/m³

Which structure is most stable, and how do the rest compare? From most to least stable: arrangement four, arrangement two, arrangement one, arrangement three.

Arrangement one

Entry from OQMD: a relaxed structure of Lu2Au2O5 (PBE).

CIF file:
```
data_Lu2Au2O5
_symmetry_space_group_name_H-M 'P 4/m m m'
_symmetry_Int_Tables_number 123
_symmetry_space_group_name_Hall '-P 4 2'
_cell_length_a 3.906
_cell_length_b 3.906
_cell_length_c 8.552
_cell_angle_alpha 90.00
_cell_angle_beta 90.00
_cell_angle_gamma 90.00
loop_
_atom_site_label
_atom_site_fract_x
_atom_site_fract_y
_atom_site_fract_z
Lu1 0.000 0.000 0.247
Au1 0.500 0.500 0.000
Au2 0.500 0.500 0.500
O1 0.000 0.000 0.000
O2 0.000 0.500 0.346
```

theoretical density: 10.48 Mg/m³

Arrangement two

Entry from OQMD: a relaxed structure of Lu2Au2O5 (PBE).

CIF file:
```
data_Lu2Au2O5
_symmetry_space_group_name_H-M 'P 4/m m m'
_symmetry_Int_Tables_number 123
_symmetry_space_group_name_Hall '-P 4 2'
_cell_length_a 4.156
_cell_length_b 4.156
_cell_length_c 6.920
_cell_angle_alpha 90.00
_cell_angle_beta 90.00
_cell_angle_gamma 90.00
loop_
_atom_site_label
_atom_site_fract_x
_atom_site_fract_y
_atom_site_fract_z
Lu1 0.000 0.000 0.000
Lu2 0.000 0.000 0.500
Au1 0.500 0.500 0.190
O1 0.000 0.500 0.222
O2 0.500 0.500 0.500
```

theoretical density: 11.45 Mg/m³

Which structure is most stable, and how do the rest compare? From most to least stable: arrangement one, arrangement two.

Arrangement one

Entry from OQMD: a relaxed structure of LuAuSO (PBE).

CIF file:
```
data_LuAuSO
_symmetry_space_group_name_H-M 'P 4/n m m'
_symmetry_Int_Tables_number 129
_cell_length_a 3.829
_cell_length_b 3.829
_cell_length_c 9.111
_cell_angle_alpha 90.00
_cell_angle_beta 90.00
_cell_angle_gamma 90.00
loop_
_symmetry_equiv_pos_as_xyz
'x,y,z'
'-x,-y,-z'
'-y+1/2,x,z'
'y+1/2,-x,-z'
'-x+1/2,-y+1/2,z'
'x+1/2,y+1/2,-z'
'y,-x+1/2,z'
'-y,x+1/2,-z'
'x+1/2,-y,-z'
'-x+1/2,y,z'
'-y,-x,-z'
'y,x,z'
'-x,y+1/2,-z'
'x,-y+1/2,z'
'y+1/2,x+1/2,-z'
'-y+1/2,-x+1/2,z'
loop_
_atom_site_label
_atom_site_fract_x
_atom_site_fract_y
_atom_site_fract_z
Lu1 0.250 0.250 0.118
Au1 0.250 0.750 0.500
S1 0.250 0.250 0.721
O1 0.250 0.750 0.000
```

theoretical density: 10.44 Mg/m³

Arrangement two

Entry from OQMD: a relaxed structure of LuAuSO (PBE).

CIF file:
```
data_LuAuSO
_symmetry_space_group_name_H-M 'P 4 b m'
_symmetry_Int_Tables_number 100
_cell_length_a 5.405
_cell_length_b 5.405
_cell_length_c 9.130
_cell_angle_alpha 90.00
_cell_angle_beta 90.00
_cell_angle_gamma 90.00
loop_
_symmetry_equiv_pos_as_xyz
'x,y,z'
'-y,x,z'
'-x,-y,z'
'y,-x,z'
'-x+1/2,y+1/2,z'
'y+1/2,x+1/2,z'
'x+1/2,-y+1/2,z'
'-y+1/2,-x+1/2,z'
loop_
_atom_site_label
_atom_site_fract_x
_atom_site_fract_y
_atom_site_fract_z
Lu1 0.000 0.000 0.000
Lu2 0.000 0.500 0.236
Au1 0.182 0.318 0.612
S1 0.000 0.000 0.401
S2 0.000 0.500 0.843
O1 0.249 0.251 0.119
```

theoretical density: 10.46 Mg/m³

Arrangement three

Entry from OQMD: a relaxed structure of LuAuSO (PBE).

CIF file:
```
data_LuAuSO
_symmetry_space_group_name_H-M 'A e m 2'
_symmetry_Int_Tables_number 39
_cell_length_a 9.075
_cell_length_b 5.486
_cell_length_c 5.506
_cell_angle_alpha 90.00
_cell_angle_beta 90.00
_cell_angle_gamma 90.00
loop_
_symmetry_equiv_pos_as_xyz
'x,y,z'
'-x,-y,z'
'-x,y+1/2,z'
'x,-y+1/2,z'
'x,y+1/2,z+1/2'
'-x,-y+1/2,z+1/2'
'-x,y,z+1/2'
'x,-y,z+1/2'
loop_
_atom_site_label
_atom_site_fract_x
_atom_site_fract_y
_atom_site_fract_z
Lu1 0.115 0.250 0.000
Au1 0.500 0.000 0.001
S1 0.279 0.250 0.501
O1 0.000 0.000 0.250
```

theoretical density: 10.18 Mg/m³

Arrangement four

Entry from OQMD: a relaxed structure of LuAuSO (PBE).

CIF file:
```
data_LuAuSO
_symmetry_space_group_name_H-M 'P 1 21 1'
_symmetry_Int_Tables_number 4
_cell_length_a 5.530
_cell_length_b 5.522
_cell_length_c 10.573
_cell_angle_alpha 90.00
_cell_angle_beta 91.89
_cell_angle_gamma 90.00
loop_
_symmetry_equiv_pos_as_xyz
'x,y,z'
'-x,y+1/2,-z'
loop_
_atom_site_label
_atom_site_fract_x
_atom_site_fract_y
_atom_site_fract_z
Lu1 0.005 0.000 0.096
Lu2 0.494 0.001 0.903
Au1 0.003 0.022 0.726
Au2 0.316 0.276 0.503
S1 0.297 0.229 0.285
S2 0.303 0.317 0.722
O1 0.249 0.249 0.002
O2 0.252 0.750 0.000
```

theoretical density: 8.65 Mg/m³

Which structure is most stable, and how do the rest compare? From most to least stable: arrangement four, arrangement three, arrangement two, arrangement one.

Arrangement one

Entry from OQMD: a relaxed structure of LuAuSO (PBE).

CIF file:
```
data_LuAuSO
_symmetry_space_group_name_H-M 'P 4 m m'
_symmetry_Int_Tables_number 99
_cell_length_a 5.414
_cell_length_b 5.414
_cell_length_c 9.108
_cell_angle_alpha 90.00
_cell_angle_beta 90.00
_cell_angle_gamma 90.00
loop_
_symmetry_equiv_pos_as_xyz
'x,y,z'
'-y,x,z'
'-x,-y,z'
'y,-x,z'
'-x,y,z'
'y,x,z'
'x,-y,z'
'-y,-x,z'
loop_
_atom_site_label
_atom_site_fract_x
_atom_site_fract_y
_atom_site_fract_z
Lu1 0.000 0.000 0.000
Lu2 0.000 0.500 0.764
Lu3 0.500 0.500 0.000
Au1 0.250 0.250 0.381
S1 0.000 0.000 0.602
S2 0.000 0.500 0.160
S3 0.500 0.500 0.603
O1 0.250 0.250 0.882
```

theoretical density: 10.45 Mg/m³

Arrangement two

Entry from OQMD: a relaxed structure of LuAuSO (PBE).

CIF file:
```
data_LuAuSO
_symmetry_space_group_name_H-M 'P 1 21/c 1'
_symmetry_Int_Tables_number 14
_cell_length_a 8.383
_cell_length_b 5.608
_cell_length_c 5.630
_cell_angle_alpha 90.00
_cell_angle_beta 93.31
_cell_angle_gamma 90.00
loop_
_symmetry_equiv_pos_as_xyz
'x,y,z'
'-x,-y,-z'
'-x,y+1/2,-z+1/2'
'x,-y+1/2,z+1/2'
loop_
_atom_site_label
_atom_site_fract_x
_atom_site_fract_y
_atom_site_fract_z
Lu1 0.114 0.015 0.255
Au1 0.409 0.704 0.093
S1 0.314 0.084 0.855
O1 0.014 0.747 0.998
```

theoretical density: 10.56 Mg/m³

Arrangement three

Entry from OQMD: a relaxed structure of LuAuSO (PBE).

CIF file:
```
data_LuAuSO
_symmetry_space_group_name_H-M 'P c c a'
_symmetry_Int_Tables_number 54
_cell_length_a 5.433
_cell_length_b 9.089
_cell_length_c 5.495
_cell_angle_alpha 90.00
_cell_angle_beta 90.00
_cell_angle_gamma 90.00
loop_
_symmetry_equiv_pos_as_xyz
'x,y,z'
'-x,-y,-z'
'-x+1/2,-y,z'
'x+1/2,y,-z'
'x+1/2,-y,-z+1/2'
'-x+1/2,y,z+1/2'
'-x,y,-z+1/2'
'x,-y,z+1/2'
loop_
_atom_site_label
_atom_site_fract_x
_atom_site_fract_y
_atom_site_fract_z
Lu1 0.000 0.116 0.250
Au1 0.250 0.500 0.202
S1 0.000 0.279 0.750
O1 0.250 0.000 0.001
```

theoretical density: 10.28 Mg/m³

Arrangement four

Entry from OQMD: a relaxed structure of LuAuSO (PBE).

CIF file:
```
data_LuAuSO
_symmetry_space_group_name_H-M 'P m c 21'
_symmetry_Int_Tables_number 26
_cell_length_a 4.046
_cell_length_b 6.447
_cell_length_c 6.219
_cell_angle_alpha 90.00
_cell_angle_beta 90.00
_cell_angle_gamma 90.00
loop_
_symmetry_equiv_pos_as_xyz
'x,y,z'
'-x,-y,z+1/2'
'-x,y,z'
'x,-y,z+1/2'
loop_
_atom_site_label
_atom_site_fract_x
_atom_site_fract_y
_atom_site_fract_z
Lu1 0.000 0.182 0.000
Au1 0.500 0.297 0.615
S1 0.500 0.345 0.209
O1 0.000 0.080 0.684
```

theoretical density: 8.60 Mg/m³

Which structure is most stable, and how do the rest compare? From most to least stable: arrangement three, arrangement two, arrangement one, arrangement four.